[1]
LiPa2Ge3 GGA-PBE relaxed; formation enthalpy at 0 K = -281 meV/atom; SG = No. 15; total DFT energy (no corrections) = -6.074 eV per atom
1.0
-2.4749 1.8922 -4.8624
6.2412 -4.5741 -4.9567
-2.7880 -3.7782 3.3779
Pa Ge Li
4 6 2
direct
0.5822 0.0790 0.3729 Pa
0.7908 0.5790 0.3729 Pa
0.2092 0.4210 0.6271 Pa
0.4178 0.9210 0.6271 Pa
0.0203 0.0781 0.2492 Ge
0.3707 0.7500 0.0000 Ge
0.2289 0.5781 0.2492 Ge
0.6293 0.2500 0.0000 Ge
0.9797 0.9219 0.7508 Ge
0.7711 0.4219 0.7508 Ge
0.1457 0.2500 0.0000 Li
0.8543 0.7500 0.0000 Li

[2]
LiPaGe2 GGA-PBE relaxed; formation enthalpy at 0 K = -412 meV/atom; SG = No. 139; ΔE to the lowest computed polymorph = 0 meV/atom; total DFT energy (no corrections) = -5.573 eV per atom
1.0
-1.9308 -2.4626 2.5705
-2.8413 -0.6956 -2.8005
7.5177 -5.9317 -3.2260
Ge Li Pa
4 2 2
direct
0.3399 0.3399 0.6798 Ge
0.6601 0.6601 0.3202 Ge
0.0000 0.5000 0.0000 Ge
0.5000 0.0000 0.0000 Ge
0.2500 0.7500 0.5000 Li
0.7500 0.2500 0.5000 Li
0.8880 0.8880 0.7760 Pa
0.1120 0.1120 0.2240 Pa

[3]
LiPaGe2 GGA-PBE relaxed; formation enthalpy at 0 K = -377 meV/atom; SG = No. 123; ΔE to the lowest computed polymorph = 35 meV/atom; total DFT energy (no corrections) = -5.538 eV per atom
1.0
-0.6331 3.5397 1.8155
1.4039 -1.7118 3.8271
4.1345 1.2343 -0.9646
Li Ge Pa
1 2 1
direct
0.5000 0.0000 0.0000 Li
0.0000 0.5000 0.0000 Ge
0.0000 0.0000 0.5000 Ge
0.5000 0.5000 0.5000 Pa

[4]
LiPaGe2 GGA-PBE relaxed; formation enthalpy at 0 K = -311 meV/atom; SG = No. 225; ΔE to the lowest computed polymorph = 100 meV/atom; total DFT energy (no corrections) = -5.472 eV per atom
1.0
4.8102 0.0000 0.0000
2.4051 4.1658 0.0000
2.4051 1.3886 3.9275
Ge Li Pa
2 1 1
direct
0.7500 0.7500 0.7500 Ge
0.2500 0.2500 0.2500 Ge
0.5000 0.5000 0.5000 Li
0.0000 0.0000 0.0000 Pa